(1)
The following is a PBE calculation of an optimized crystal structure of HgSbS2Cl, from Alexandria.

Output
Formation energy without anion corrections, eV/atom: -0.28
Spin magnetization, μB per formula unit: 0.00
ρ, g/cm3: 3.81

Unit cell a=7.706 b=5.540 c=8.705 alpha=90.00 beta=97.71 gamma=90.00
Space group P2_1/m (No. 11)
One atom of each set of equivalent atoms:
Hg 0.208 0.250 0.215
Sb 0.268 0.750 0.639
S 0.100 0.750 0.855
S 0.497 0.250 0.150
Cl 0.254 0.250 0.571

=====

(2)
The following is a PBE calculation of an optimized crystal structure of Hg4SbSCl2, from Alexandria.

Output
Formation energy without anion corrections, eV/atom: -0.14
Spin magnetization, μB per formula unit: 0.00
ρ, g/cm3: 7.80

Unit cell a=11.458 b=13.265 c=8.034 alpha=90.00 beta=134.22 gamma=90.00
Space group C2/c (No. 15)
One atom of each set of equivalent atoms:
Hg 0.001 0.220 0.020
Hg 0.247 0.474 0.498
Sb 0.000 0.000 0.000
S 0.250 0.250 0.500
Cl 0.000 0.500 0.000
Cl 0.250 0.250 0.000

=====

> Which value of spin magnetization does entry 2 give?

0.00 μB per formula unit

=====

> Among the records above, which one has the highest ρ?

Hg4SbSCl2

=====

Copy entry 2 word for word.
The following is a PBE calculation of an optimized crystal structure of Hg4SbSCl2, from Alexandria.

Output
Formation energy without anion corrections, eV/atom: -0.14
Spin magnetization, μB per formula unit: 0.00
ρ, g/cm3: 7.80

Unit cell a=11.458 b=13.265 c=8.034 alpha=90.00 beta=134.22 gamma=90.00
Space group C2/c (No. 15)
One atom of each set of equivalent atoms:
Hg 0.001 0.220 0.020
Hg 0.247 0.474 0.498
Sb 0.000 0.000 0.000
S 0.250 0.250 0.500
Cl 0.000 0.500 0.000
Cl 0.250 0.250 0.000